# 1
Compound: Y3Ho4Th
Source: Alexandria via LeMat-Bulk
Functional: PBE-GGA
Structure: optimized geometry

V = 32.9 A^3/atom
total magnetic moment = 0.035 μB/atom
formation enthalpy at 0 K = 0.438 eV per atom
SG = Cmmm (65)

a b c (Å): 3.3717 8.8651 8.8651
angles (deg): 96.96 90.00 90.00
Closest atoms and distances in Å follow each position.
Fractional positions:
1 Y 0.0000 0.0000 0.5000  6 Ho 3.32-3.39, 2 Y 3.37
2 Y 0.5000 0.5000 0.5000  6 Ho 3.33-3.47, 2 Y 3.37
3 Y 0.0000 0.5000 0.0000  6 Ho 3.32-3.39, 2 Y 3.37
4 Ho 0.5000 0.7508 0.2492  1 Th 3.31, 5 Y 3.33-3.39, 2 Ho 3.37
5 Ho 0.0000 0.2422 0.2422  2 Th 3.31, 4 Y 3.32-3.47, 2 Ho 3.37
6 Ho 0.5000 0.2492 0.7508  1 Th 3.31, 5 Y 3.33-3.39, 2 Ho 3.37
7 Ho 0.0000 0.7578 0.7578  2 Th 3.31, 4 Y 3.32-3.47, 2 Ho 3.37
8 Th 0.5000 0.0000 0.0000  6 Ho 3.31, 2 Th 3.37

=====

# 2
Compound: Y5Ho4Th2
Source: Alexandria via LeMat-Bulk
Functional: PBE-GGA
Structure: optimized geometry

V = 32.0 A^3/atom
total magnetic moment = 0.000 μB/atom
formation enthalpy at 0 K = 0.054 eV per atom
SG = P-1 (2)

a b c (Å): 3.5392 11.2381 8.8565
angles (deg): 90.79 90.15 89.68
Closest atoms and distances in Å follow each position.
Fractional positions:
1 Y 0.5000 0.0000 0.0000  4 Ho 3.20-3.44, 4 Y 3.45-3.54
2 Y 0.2320 0.0890 0.3590  5 Y 3.45-3.73, 5 Ho 3.50-3.85, 2 Th 3.60-3.68
3 Y 0.7680 0.9110 0.6410  5 Y 3.45-3.73, 5 Ho 3.50-3.85, 2 Th 3.60-3.68
4 Y 0.2572 0.5214 0.1819  5 Ho 3.42-3.64, 3 Th 3.44-3.54, 4 Y 3.54-3.72
5 Y 0.7428 0.4786 0.8181  5 Ho 3.42-3.64, 3 Th 3.44-3.54, 4 Y 3.54-3.72
6 Ho 0.7566 0.7962 0.2679  6 Y 3.44-3.85, 2 Th 3.50-3.54, 4 Ho 3.54-3.71
7 Ho 0.2434 0.2038 0.7321  6 Y 3.44-3.85, 2 Th 3.50-3.54, 4 Ho 3.54-3.71
8 Ho 0.2160 0.7378 0.9149  5 Y 3.20-3.55, 1 Th 3.47, 3 Ho 3.54-3.58
9 Ho 0.7840 0.2622 0.0851  5 Y 3.20-3.55, 1 Th 3.47, 3 Ho 3.54-3.58
10 Th 0.2504 0.6376 0.5432  5 Y 3.44-3.68, 3 Ho 3.47-3.54, 4 Th 3.54-3.64
11 Th 0.7496 0.3624 0.4568  5 Y 3.44-3.68, 3 Ho 3.47-3.54, 4 Th 3.54-3.64

=====

# 3
Compound: Y5Ho6Th2
Source: Alexandria via LeMat-Bulk
Functional: PBE-GGA
Structure: optimized geometry

V = 32.5 A^3/atom
total magnetic moment = 0.000 μB/atom
formation enthalpy at 0 K = 0.108 eV per atom
SG = Pbam (55)

a b c (Å): 3.5543 11.4578 20.7192
angles (deg): 90.00 90.00 90.00
Closest atoms and distances in Å follow each position.
Fractional positions:
1 Y 0.5000 0.8103 0.0783  4 Y 3.55-3.96, 6 Ho 3.59-3.64, 2 Th 3.71
2 Y 0.5000 0.3103 0.4217  4 Y 3.55-3.96, 6 Ho 3.59-3.64, 2 Th 3.71
3 Y 0.5000 0.1897 0.9217  4 Y 3.55-3.96, 6 Ho 3.59-3.64, 2 Th 3.71
4 Y 0.5000 0.0668 0.2062  5 Ho 3.32-3.51, 4 Th 3.48-3.53, 2 Y 3.55
5 Y 0.5000 0.5000 0.0000  6 Ho 3.32-3.61, 2 Y 3.55
6 Y 0.5000 0.9332 0.7938  5 Ho 3.32-3.51, 4 Th 3.48-3.53, 2 Y 3.55
7 Y 0.5000 0.0000 0.5000  6 Ho 3.32-3.61, 2 Y 3.55
8 Y 0.5000 0.6897 0.5783  4 Y 3.55-3.96, 6 Ho 3.59-3.64, 2 Th 3.71
9 Y 0.5000 0.5668 0.2938  5 Ho 3.32-3.51, 4 Th 3.48-3.53, 2 Y 3.55
10 Y 0.5000 0.4332 0.7062  5 Ho 3.32-3.51, 4 Th 3.48-3.53, 2 Y 3.55
11 Ho 0.0000 0.4371 0.8524  2 Th 3.38-3.77, 4 Ho 3.39-3.55, 6 Y 3.51-3.64
12 Ho 0.0000 0.4193 0.5621  3 Ho 3.17-3.46, 2 Y 3.48
13 Ho 0.0000 0.9193 0.9379  3 Ho 3.17-3.46, 2 Y 3.48
14 Ho 0.0000 0.5807 0.4379  3 Ho 3.17-3.46, 2 Y 3.48
15 Ho 0.0000 0.9371 0.6476  2 Th 3.38-3.77, 4 Ho 3.39-3.55, 6 Y 3.51-3.64
16 Ho 0.0000 0.5629 0.1476  2 Th 3.38-3.77, 4 Ho 3.39-3.55, 6 Y 3.51-3.64
17 Ho 0.5000 0.3150 0.1231  2 Y 3.32, 6 Ho 3.39-3.55, 2 Th 3.43
18 Ho 0.5000 0.6850 0.8769  2 Y 3.32, 6 Ho 3.39-3.55, 2 Th 3.43
19 Ho 0.5000 0.8150 0.3769  2 Y 3.32, 6 Ho 3.39-3.55, 2 Th 3.43
20 Ho 0.5000 0.1850 0.6231  2 Y 3.32, 6 Ho 3.39-3.55, 2 Th 3.43
21 Ho 0.0000 0.0807 0.0621  3 Ho 3.17-3.46, 2 Y 3.48
22 Ho 0.0000 0.0629 0.3524  2 Th 3.38-3.77, 4 Ho 3.39-3.55, 6 Y 3.51-3.64
23 Th 0.0000 0.8111 0.2354  4 Ho 3.38-3.77, 6 Y 3.48-3.71, 2 Th 3.55
24 Th 0.0000 0.3111 0.2646  4 Ho 3.38-3.77, 6 Y 3.48-3.71, 2 Th 3.55
25 Th 0.0000 0.1889 0.7646  4 Ho 3.38-3.77, 6 Y 3.48-3.71, 2 Th 3.55
26 Th 0.0000 0.6889 0.7354  4 Ho 3.38-3.77, 6 Y 3.48-3.71, 2 Th 3.55

=====

# 4
Compound: Y2Ho4Th3
Source: Alexandria via LeMat-Bulk
Functional: PBE-GGA
Structure: optimized geometry

V = 32.1 A^3/atom
total magnetic moment = 0.000 μB/atom
formation enthalpy at 0 K = 0.081 eV per atom
SG = P3m1 (156)

a b c (Å): 3.5574 3.5574 26.3843
angles (deg): 90.00 90.00 120.00
Closest atoms and distances in Å follow each position.
Fractional positions:
1 Ho 0.0000 0.0000 0.5424  9 Ho 3.49-3.56, 3 Th 3.56
2 Ho 0.6667 0.3333 0.4353  9 Ho 3.49-3.56, 3 Th 3.59
3 Ho 0.6667 0.3333 0.2168  1 Y 3.32, 3 Th 3.49, 6 Ho 3.56
4 Ho 0.0000 0.0000 0.7622  3 Y 3.52, 3 Th 3.55, 6 Ho 3.56
5 Y 0.6667 0.3333 0.8706  3 Ho 3.52, 6 Y 3.56, 3 Th 3.61
6 Y 0.6667 0.3333 0.0909  1 Ho 3.32, 3 Th 3.51, 6 Y 3.56
7 Th 0.0000 0.0000 0.3236  6 Ho 3.49-3.59, 6 Th 3.56
8 Th 0.0000 0.0000 0.9831  6 Y 3.51-3.61, 6 Th 3.56
9 Th 0.6667 0.3333 0.6524  6 Ho 3.55-3.56, 6 Th 3.56

=====

# 5
Compound: Y5HoTh2
Source: Alexandria via LeMat-Bulk
Functional: PBE-GGA
Structure: optimized geometry

V = 32.6 A^3/atom
total magnetic moment = 0.000 μB/atom
formation enthalpy at 0 K = 0.138 eV per atom
SG = I4/mcm (140)

a b c (Å): 8.8086 8.8086 9.1640
angles (deg): 118.72 118.72 90.00
Closest atoms and distances in Å follow each position.
Fractional positions:
1 Y 0.3143 0.8143 0.3223  3 Th 3.37, 3 Y 3.39-3.60, 2 Ho 3.55
2 Y 0.0000 0.0000 0.0000  2 Ho 3.36, 4 Th 3.40
3 Y 0.6857 0.1857 0.6777  3 Th 3.37, 3 Y 3.39-3.60, 2 Ho 3.55
4 Y 0.4920 0.6857 0.6777  3 Th 3.37, 3 Y 3.39-3.60, 2 Ho 3.55
5 Y 0.5080 0.3143 0.3223  3 Th 3.37, 3 Y 3.39-3.60, 2 Ho 3.55
6 Y 0.1857 0.9920 0.6777  3 Th 3.37, 3 Y 3.39-3.60, 2 Ho 3.55
7 Y 0.5000 0.5000 0.0000  2 Ho 3.36, 4 Th 3.40
8 Y 0.0080 0.5080 0.3223  3 Th 3.37, 3 Y 3.39-3.60, 2 Ho 3.55
9 Y 0.9920 0.4920 0.6777  3 Th 3.37, 3 Y 3.39-3.60, 2 Ho 3.55
10 Y 0.8143 0.0080 0.3223  3 Th 3.37, 3 Y 3.39-3.60, 2 Ho 3.55
11 Th 0.1400 0.3600 0.0000  8 Y 3.37-3.40, 1 Th 3.49
12 Th 0.6400 0.1400 0.0000  8 Y 3.37-3.40, 1 Th 3.49
13 Th 0.3600 0.8600 0.0000  8 Y 3.37-3.40, 1 Th 3.49
14 Th 0.8600 0.6400 0.0000  8 Y 3.37-3.40, 1 Th 3.49
15 Ho 0.7500 0.7500 0.5000  10 Y 3.36-3.55
16 Ho 0.2500 0.2500 0.5000  10 Y 3.36-3.55

=====

# 6
Compound: YHo9Th2
Source: Alexandria via LeMat-Bulk
Functional: PBE-GGA
Structure: optimized geometry

V = 31.3 A^3/atom
total magnetic moment = 0.000 μB/atom
formation enthalpy at 0 K = 0.034 eV per atom
SG = P4/mmm (123)

a b c (Å): 5.0085 5.0085 14.9660
angles (deg): 90.00 90.00 90.00
Closest atoms and distances in Å follow each position.
Fractional positions:
1 Ho 0.5000 0.0000 0.8311  8 Ho 3.51-3.56, 2 Th 3.52, 2 Y 3.56
2 Ho 0.5000 0.0000 0.5000  4 Th 3.52, 8 Ho 3.54
3 Ho 0.0000 0.5000 0.8311  8 Ho 3.51-3.56, 2 Th 3.52, 2 Y 3.56
4 Ho 0.0000 0.5000 0.5000  4 Th 3.52, 8 Ho 3.54
5 Ho 0.5000 0.0000 0.1689  8 Ho 3.51-3.56, 2 Th 3.52, 2 Y 3.56
6 Ho 0.5000 0.5000 0.0000  4 Y 3.54, 8 Ho 3.56
7 Ho 0.0000 0.5000 0.1689  8 Ho 3.51-3.56, 2 Th 3.52, 2 Y 3.56
8 Ho 0.5000 0.5000 0.6669  8 Ho 3.51-3.54, 4 Th 3.54
9 Ho 0.5000 0.5000 0.3331  8 Ho 3.51-3.54, 4 Th 3.54
10 Y 0.0000 0.0000 0.0000  12 Ho 3.54-3.56
11 Th 0.0000 0.0000 0.3345  12 Ho 3.52-3.54
12 Th 0.0000 0.0000 0.6655  12 Ho 3.52-3.54

=====

Repeat the second record exactly.
Compound: Y5Ho4Th2
Source: Alexandria via LeMat-Bulk
Functional: PBE-GGA
Structure: optimized geometry

V = 32.0 A^3/atom
total magnetic moment = 0.000 μB/atom
formation enthalpy at 0 K = 0.054 eV per atom
SG = P-1 (2)

a b c (Å): 3.5392 11.2381 8.8565
angles (deg): 90.79 90.15 89.68
Closest atoms and distances in Å follow each position.
Fractional positions:
1 Y 0.5000 0.0000 0.0000  4 Ho 3.20-3.44, 4 Y 3.45-3.54
2 Y 0.2320 0.0890 0.3590  5 Y 3.45-3.73, 5 Ho 3.50-3.85, 2 Th 3.60-3.68
3 Y 0.7680 0.9110 0.6410  5 Y 3.45-3.73, 5 Ho 3.50-3.85, 2 Th 3.60-3.68
4 Y 0.2572 0.5214 0.1819  5 Ho 3.42-3.64, 3 Th 3.44-3.54, 4 Y 3.54-3.72
5 Y 0.7428 0.4786 0.8181  5 Ho 3.42-3.64, 3 Th 3.44-3.54, 4 Y 3.54-3.72
6 Ho 0.7566 0.7962 0.2679  6 Y 3.44-3.85, 2 Th 3.50-3.54, 4 Ho 3.54-3.71
7 Ho 0.2434 0.2038 0.7321  6 Y 3.44-3.85, 2 Th 3.50-3.54, 4 Ho 3.54-3.71
8 Ho 0.2160 0.7378 0.9149  5 Y 3.20-3.55, 1 Th 3.47, 3 Ho 3.54-3.58
9 Ho 0.7840 0.2622 0.0851  5 Y 3.20-3.55, 1 Th 3.47, 3 Ho 3.54-3.58
10 Th 0.2504 0.6376 0.5432  5 Y 3.44-3.68, 3 Ho 3.47-3.54, 4 Th 3.54-3.64
11 Th 0.7496 0.3624 0.4568  5 Y 3.44-3.68, 3 Ho 3.47-3.54, 4 Th 3.54-3.64

=====

> Which value of total magnetic moment does entry 5 give?

0.000 μB/atom

=====

> Look up the V of the fifth one.

32.6 A^3/atom

=====

> total magnetic moment of number 3 (Y5Ho6Th2)?

0.000 μB/atom